Model i:
First-principles (PBE-GGA) data for a relaxed structure of CePmPdRh, as listed in the Alexandria database.

Output
size of the total moment	1.031	μB per formula unit
ρ	9.21	g cm⁻³

abc: 5.0142 5.0142 5.0142
angles: 60.00 60.00 60.00
With the nearest neighbours (Å) after each atom.
Atoms (fractional coordinates):
Pd (0.0000, 0.0000, 0.0000)  4 Ce 3.07, 4 Pm 3.07
Rh (0.5000, 0.5000, 0.5000)  4 Pm 3.07, 4 Ce 3.07
Ce (0.7500, 0.7500, 0.7500)  4 Pd 3.07, 4 Rh 3.07
Pm (0.2500, 0.2500, 0.2500)  4 Rh 3.07, 4 Pd 3.07



Model ii:
First-principles (PBE-GGA) data for a relaxed structure of CePmPdRh, as listed in the Alexandria database.

Output
size of the total moment	0.276	μB per formula unit
ρ	8.87	g cm⁻³

abc: 3.8667 4.1696 6.0576
angles: 90.00 108.61 90.00
With the nearest neighbours (Å) after each atom.
Atoms (fractional coordinates):
Rh (0.4018, 0.0000, 0.8037)  4 Ce 2.87, 2 Pd 2.95, 1 Pm 2.95
Pd (0.5841, 0.5000, 0.1681)  4 Pm 2.93, 2 Rh 2.95, 3 Ce 3.13-3.28
Pm (0.1446, 0.0000, 0.2891)  4 Pd 2.93, 1 Rh 2.95
Ce (0.8695, 0.5000, 0.7391)  4 Rh 2.87, 2 Pd 3.13



Ranked by calculated energy, most stable first: model ii, model i.



Model i:
First-principles (PBE-GGA) data for a relaxed structure of CePrPd2, as listed in the Alexandria database.

Output
size of the total moment	0.561	μB per formula unit
ρ	7.85	g cm⁻³

abc: 4.1782 4.1782 7.3150
angles: 73.41 73.41 60.00
With the nearest neighbours (Å) after each atom.
Atoms (fractional coordinates):
Pd (0.2543, 0.2543, 0.2371)  3 Ce 2.92, 3 Pr 3.02
Pd (0.7457, 0.7457, 0.7629)  3 Ce 2.92, 3 Pr 3.02
Pr (0.5000, 0.5000, 0.5000)  6 Pd 3.02
Ce (0.0000, 0.0000, 0.0000)  6 Pd 2.92



Model ii:
First-principles (PBE-GGA) data for a relaxed structure of CePrPd2, as listed in the Alexandria database.

Output
size of the total moment	0.944	μB per formula unit
ρ	8.69	g cm⁻³

abc: 3.6030 3.6030 7.2684
angles: 90.00 90.00 90.00
With the nearest neighbours (Å) after each atom.
Atoms (fractional coordinates):
Pd (0.0000, 0.0000, 0.7696)  4 Ce 3.05, 4 Pr 3.21, 1 Pd 3.35
Pr (0.5000, 0.5000, 0.5000)  8 Pd 3.21
Pd (0.0000, 0.0000, 0.2304)  4 Ce 3.05, 4 Pr 3.21, 1 Pd 3.35
Ce (0.5000, 0.5000, 0.0000)  8 Pd 3.05



Ranked by calculated energy, most stable first: model ii, model i.